1.
An optimized crystal structure of CaOs3, computed with PBE.

Calculated values
The calculation puts the energy of formation at 0.67 eV per atom. The energy above the most stable polymorph in this dataset comes out at 0.231 eV/atom. As for the space group: Cmmm (65). The calculation puts the density at 15.79 g/cm3. For the density of states at the Fermi level, the calculation gives 1.3386 states/eV per atom.

a = 5.0063 Å, b = 5.0063 Å, c = 2.7093 Å
α = 90.00°, β = 90.00°, γ = 108.90°
Positions (direct):
Ca (0.0000, 0.0000, 0.0000)
Os (0.0000, 0.5000, 0.5000)
Os (0.5000, 0.0000, 0.5000)
Os (0.5000, 0.5000, 0.0000)

2.
An optimized crystal structure of CaOs, computed with PBE.

Calculated values
The calculation puts the energy of formation at 0.79 eV per atom. As for the space group: P6_3/m (176). The calculation puts the density at 4.70 g/cm3. For the density of states at the Fermi level, the calculation gives 1.2655 states/eV per atom.

a = 11.9690 Å, b = 11.9690 Å, c = 3.9370 Å
α = 90.00°, β = 90.00°, γ = 120.00°
Positions (direct):
Ca (0.1859, 0.4462, 0.2500)
Ca (0.2603, 0.8141, 0.2500)
Ca (0.4462, 0.2603, 0.7500)
Ca (0.5538, 0.7397, 0.2500)
Ca (0.7397, 0.1859, 0.7500)
Ca (0.8141, 0.5538, 0.7500)
Os (0.0190, 0.5588, 0.2500)
Os (0.4412, 0.4602, 0.2500)
Os (0.4602, 0.0190, 0.7500)
Os (0.5398, 0.9810, 0.2500)
Os (0.5588, 0.5398, 0.7500)
Os (0.9810, 0.4412, 0.7500)

3.
An optimized crystal structure of CaOs3, computed with PBE.

Calculated values
The calculation puts the energy of formation at 0.49 eV per atom. The energy above the most stable polymorph in this dataset comes out at 0.050 eV/atom. As for the space group: Imm2 (44). The calculation puts the density at 15.56 g/cm3. For the density of states at the Fermi level, the calculation gives 1.0351 states/eV per atom.

a = 5.5291 Å, b = 5.5291 Å, c = 5.5291 Å
α = 150.65°, β = 61.27°, γ = 127.52°
Positions (direct):
Ca (0.0000, 0.0000, 0.0000)
Os (0.3965, 0.6223, 0.7742)
Os (0.4821, 0.9821, 0.5000)
Os (0.8481, 0.6223, 0.2258)

4.
An optimized crystal structure of CaOs, computed with PBE.

Calculated values
The calculation puts the energy of formation at 0.80 eV per atom. As for the space group: P6_3/mmc (194). The calculation puts the density at 8.93 g/cm3. For the density of states at the Fermi level, the calculation gives 0.9663 states/eV per atom.

a = 4.9971 Å, b = 4.9971 Å, c = 7.9171 Å
α = 90.00°, β = 90.00°, γ = 120.00°
Positions (direct):
Ca (0.0000, 0.0000, 0.2500)
Ca (0.0000, 0.0000, 0.7500)
Ca (0.3333, 0.6667, 0.2500)
Ca (0.6667, 0.3333, 0.7500)
Os (0.3333, 0.6667, 0.6018)
Os (0.3333, 0.6667, 0.8982)
Os (0.6667, 0.3333, 0.1018)
Os (0.6667, 0.3333, 0.3982)

5.
An optimized crystal structure of CaOs3, computed with PBE.

Calculated values
The calculation puts the energy of formation at 0.44 eV per atom. The energy above the most stable polymorph in this dataset comes out at 0.000 eV/atom. As for the space group: P4/mmm (123). The calculation puts the density at 15.16 g/cm3. For the density of states at the Fermi level, the calculation gives 1.3984 states/eV per atom.

a = 2.8077 Å, b = 2.8077 Å, c = 8.4845 Å
α = 90.00°, β = 90.00°, γ = 90.00°
Positions (direct):
Ca (0.0000, 0.0000, 0.0000)
Os (0.0000, 0.0000, 0.5000)
Os (0.5000, 0.5000, 0.2874)
Os (0.5000, 0.5000, 0.7126)

6.
An optimized crystal structure of CaOs, computed with PBE.

Calculated values
The calculation puts the energy of formation at 0.33 eV per atom. As for the space group: P4/m (83). The calculation puts the density at 5.89 g/cm3. For the density of states at the Fermi level, the calculation gives 0.7537 states/eV per atom.

a = 11.0906 Å, b = 11.0906 Å, c = 4.2232 Å
α = 90.00°, β = 90.00°, γ = 90.00°
Positions (direct):
Ca (0.0061, 0.3191, 0.0000)
Ca (0.3194, 0.3246, 0.5000)
Ca (0.3191, 0.9939, 0.0000)
Ca (0.3246, 0.6806, 0.5000)
Ca (0.6754, 0.3194, 0.5000)
Ca (0.6809, 0.0061, 0.0000)
Ca (0.6806, 0.6754, 0.5000)
Ca (0.9939, 0.6809, 0.0000)
Os (0.1093, 0.5236, 0.5000)
Os (0.2053, 0.4932, 0.0000)
Os (0.4764, 0.1093, 0.5000)
Os (0.4932, 0.7947, 0.0000)
Os (0.5068, 0.2053, 0.0000)
Os (0.5236, 0.8907, 0.5000)
Os (0.7947, 0.5068, 0.0000)
Os (0.8907, 0.4764, 0.5000)

7.
An optimized crystal structure of CaOs, computed with PBE.

Calculated values
The calculation puts the energy of formation at 0.50 eV per atom. As for the space group: Pmmn (59). The calculation puts the density at 8.55 g/cm3. For the density of states at the Fermi level, the calculation gives 0.3987 states/eV per atom.

a = 5.2095 Å, b = 11.1633 Å, c = 4.6153 Å
α = 90.00°, β = 90.00°, γ = 90.00°
Positions (direct):
Ca (0.2500, 0.0535, 0.1252)
Ca (0.2500, 0.2500, 0.6067)
Ca (0.2500, 0.4465, 0.1252)
Ca (0.7500, 0.5535, 0.8748)
Ca (0.7500, 0.7500, 0.3933)
Ca (0.7500, 0.9465, 0.8748)
Os (0.2500, 0.6417, 0.5584)
Os (0.2500, 0.7500, 0.0453)
Os (0.2500, 0.8583, 0.5584)
Os (0.7500, 0.1417, 0.4416)
Os (0.7500, 0.2500, 0.9547)
Os (0.7500, 0.3583, 0.4416)

8.
An optimized crystal structure of CaOs3, computed with PBE.

Calculated values
The calculation puts the energy of formation at 0.86 eV per atom. The energy above the most stable polymorph in this dataset comes out at 0.417 eV/atom. As for the space group: P6_3/mmc (194). The calculation puts the density at 15.54 g/cm3. For the density of states at the Fermi level, the calculation gives 1.5063 states/eV per atom.

a = 5.7460 Å, b = 5.7460 Å, c = 9.1317 Å
α = 90.00°, β = 90.00°, γ = 120.00°
Positions (direct):
Ca (0.0000, 0.0000, 0.0000)
Ca (0.0000, 0.0000, 0.5000)
Ca (0.3333, 0.6667, 0.2500)
Ca (0.6667, 0.3333, 0.7500)
Os (0.0000, 0.5000, 0.0000)
Os (0.0000, 0.5000, 0.5000)
Os (0.1713, 0.3426, 0.7500)
Os (0.1713, 0.8287, 0.7500)
Os (0.3426, 0.1713, 0.2500)
Os (0.5000, 0.0000, 0.0000)
Os (0.5000, 0.0000, 0.5000)
Os (0.5000, 0.5000, 0.0000)
Os (0.5000, 0.5000, 0.5000)
Os (0.6574, 0.8287, 0.7500)
Os (0.8287, 0.1713, 0.2500)
Os (0.8287, 0.6574, 0.2500)

9.
An optimized crystal structure of CaOs, computed with PBE.

Calculated values
The calculation puts the energy of formation at 0.31 eV per atom. As for the space group: Imma (74). The calculation puts the density at 8.49 g/cm3. For the density of states at the Fermi level, the calculation gives 0.7193 states/eV per atom.

a = 5.3716 Å, b = 5.3716 Å, c = 5.3716 Å
α = 134.00°, β = 123.96°, γ = 75.33°
Positions (direct):
Ca (0.3567, 0.1067, 0.2500)
Ca (0.6433, 0.8933, 0.7500)
Os (0.0656, 0.3156, 0.7500)
Os (0.9344, 0.6844, 0.2500)

10.
An optimized crystal structure of Ca5Os3, computed with PBE.

Calculated values
The calculation puts the energy of formation at 0.52 eV per atom. The energy above the most stable polymorph in this dataset comes out at 0.077 eV/atom. As for the space group: Cmmm (65). The calculation puts the density at 6.28 g/cm3. For the density of states at the Fermi level, the calculation gives 0.9164 states/eV per atom.

a = 7.1660 Å, b = 7.1660 Å, c = 3.9764 Å
α = 90.00°, β = 90.00°, γ = 92.40°
Positions (direct):
Ca (0.0000, 0.0000, 0.0000)
Ca (0.0000, 0.5000, 0.0000)
Ca (0.2731, 0.7269, 0.5000)
Ca (0.5000, 0.0000, 0.0000)
Ca (0.7269, 0.2731, 0.5000)
Os (0.3375, 0.3375, 0.5000)
Os (0.5000, 0.5000, 0.0000)
Os (0.6625, 0.6625, 0.5000)